1.
Density functional theory data (GGA-PBE) for crystalline Hf2Np at its relaxed geometry.

extended XYZ file:
```
6
Lattice="0.000 5.688 5.688 5.688 0.000 5.688 5.688 5.688 0.000" Properties=species:S:1:pos:R:3 pbc="T T T"
Hf 0.000 0.000 0.000
Hf 2.844 2.844 0.000
Hf 2.844 0.000 2.844
Hf 0.000 2.844 2.844
Np 1.422 1.422 1.422
Np 9.954 9.954 9.954
```

Summary:
- Calculated formation energy: 3478 meV per atom
- Space group: No. 227

=====

2.
Density functional theory data (GGA-PBE) for crystalline Dy2Y2ErLu2Ni2Te2 at its relaxed geometry.

extended XYZ file:
```
11
Lattice="-1.909 7.752 4.778 1.909 -7.752 4.778 1.909 7.752 -4.778" Properties=species:S:1:pos:R:3 pbc="T T T"
Dy 0.000 2.054 0.000
Dy 0.000 13.451 0.000
Y 0.000 4.883 1.930
Y 0.000 10.622 1.930
Er 0.000 0.000 5.527
Lu 1.909 -2.278 3.374
Lu 1.909 2.278 3.374
Ni 1.909 4.089 0.037
Ni 0.000 3.664 4.816
Te 0.000 0.000 2.361
Te 0.000 7.752 3.282
```

Summary:
- Space group: No. 44
- Final energy: -5.499 eV/atom

=====

3.
Density functional theory data (GGA-PBE) for crystalline SmPb at its relaxed geometry.

extended XYZ file:
```
2
Lattice="0.000 3.201 3.201 3.201 0.000 3.201 3.201 3.201 0.000" Properties=species:S:1:pos:R:3 pbc="T T T"
Sm 0.000 0.000 0.000
Pb 3.201 3.201 3.201
```

Summary:
- Space group: No. 225
- Final energy: -4.607 eV/atom

=====

4.
Density functional theory data (GGA-PBE) for crystalline AlCuOsW at its relaxed geometry.

extended XYZ file:
```
4
Lattice="0.000 3.052 3.052 3.052 0.000 3.052 3.052 3.052 0.000" Properties=species:S:1:pos:R:3 pbc="T T T"
Al 0.000 0.000 0.000
Cu 1.526 1.526 1.526
Os 4.579 4.579 4.579
W 3.052 3.052 3.052
```

Summary:
- Space group: No. 216
- Final energy: -7.988 eV/atom

=====

no.,volume (Å³ per atom)
1,61.34
2,25.72
3,32.80
4,14.22